1.
{"formula": "CaNiRh", "functional": "PBE", "state": "relaxed", "lattice": [[4.340, 0.000, 0.000], [2.170, 3.758, 0.000], [2.170, 1.253, 3.543]], "species": ["Ni", "Ca", "Rh"], "fractional_positions": [[0.750, 0.750, 0.750], [0.500, 0.500, 0.500], [0.000, 0.000, 0.000]], "formation_enthalpy_0k_ev_per_atom": 0.20}


2.
{"formula": "UHg2Br4", "functional": "PBE", "state": "relaxed", "lattice": [[9.564, 0.000, 0.000], [0.000, 6.824, -1.901], [0.000, -1.405, 9.868]], "species": ["U", "U", "Hg", "Hg", "Hg", "Hg", "Br", "Br", "Br", "Br", "Br", "Br", "Br", "Br"], "fractional_positions": [[0.750, 0.387, 0.224], [0.250, 0.613, 0.776], [0.750, 0.674, 0.048], [0.250, 0.326, 0.952], [0.250, 0.230, 0.452], [0.750, 0.770, 0.548], [0.250, 0.853, 0.626], [0.250, 0.921, 0.048], [0.523, 0.507, 0.742], [0.750, 0.147, 0.374], [0.977, 0.507, 0.742], [0.023, 0.493, 0.258], [0.477, 0.493, 0.258], [0.750, 0.079, 0.952]], "e_form_raw_ev_per_fu": -5.61, "relative_energy_ev_per_atom": 0.0274}


3.
{"formula": "PrPuPd6", "functional": "PBE", "state": "relaxed", "lattice": [[4.181, 0.000, 0.000], [0.000, 4.181, 0.000], [0.000, 0.000, 8.367]], "species": ["Pr", "Pu", "Pd", "Pd", "Pd", "Pd", "Pd", "Pd"], "fractional_positions": [[0.000, 0.000, 0.000], [0.000, 0.000, 0.500], [0.500, 0.500, 0.000], [0.500, 0.500, 0.500], [0.500, 0.000, 0.259], [0.500, 0.000, 0.741], [0.000, 0.500, 0.259], [0.000, 0.500, 0.741]], "formation_enthalpy_0k_ev_per_atom": -0.65}


4.
{"formula": "Tc2MoPb", "functional": "PBE", "state": "relaxed", "lattice": [[-2.164, -1.086, -2.027], [-0.575, -2.440, 1.921], [-4.885, 3.699, 3.234]], "species": ["Mo", "Pb", "Tc", "Tc"], "fractional_positions": [[0.500, 0.500, 0.250], [0.500, 0.500, 0.750], [0.000, 0.000, 0.034], [0.000, 0.000, 0.466]], "formation_enthalpy_0k_ev_per_atom": 0.40}


5.
{"formula": "HoGe2Pt", "functional": "PBE", "state": "relaxed", "lattice": [[-5.430, 7.865, 0.241], [-5.106, 2.260, -7.760], [2.189, -5.464, 7.533]], "species": ["Ho", "Ho", "Ho", "Ho", "Ge", "Ge", "Ge", "Ge", "Ge", "Ge", "Ge", "Ge", "Pt", "Pt", "Pt", "Pt"], "fractional_positions": [[0.737, 0.000, 0.737], [0.701, 0.201, 0.500], [0.299, 0.799, 0.500], [0.263, 0.000, 0.263], [0.650, 0.800, 0.850], [0.926, 0.426, 0.500], [0.050, 0.200, 0.850], [0.350, 0.200, 0.150], [0.950, 0.800, 0.150], [0.426, 0.426, 0.000], [0.074, 0.574, 0.500], [0.574, 0.574, 0.000], [0.398, 0.648, 0.750], [0.602, 0.352, 0.250], [0.898, 0.648, 0.250], [0.102, 0.352, 0.750]], "formation_enthalpy_0k_ev_per_atom": -0.86}


6.
{"formula": "YReAu2", "functional": "PBE", "state": "relaxed", "lattice": [[-3.985, 1.857, -1.917], [-0.751, -0.297, -4.728], [-3.417, -2.901, -1.708]], "species": ["Au", "Au", "Re", "Y"], "fractional_positions": [[0.000, 0.000, 0.000], [0.250, 0.250, 0.250], [0.500, 0.500, 0.500], [0.750, 0.750, 0.750]], "formation_enthalpy_0k_ev_per_atom": 0.31, "relative_energy_ev_per_atom": 0.2871}


7.
{"formula": "AlGa2Ag3", "functional": "PBE", "state": "relaxed", "lattice": [[2.953, 0.000, 0.000], [0.000, 7.177, 0.000], [-1.476, 0.000, 11.033]], "species": ["Al", "Al", "Ga", "Ga", "Ga", "Ga", "Ag", "Ag", "Ag", "Ag", "Ag", "Ag"], "fractional_positions": [[0.359, 0.750, 0.717], [0.641, 0.250, 0.283], [0.157, 0.750, 0.313], [0.843, 0.250, 0.687], [0.970, 0.750, 0.940], [0.030, 0.250, 0.060], [0.432, 0.446, 0.864], [0.568, 0.554, 0.136], [0.432, 0.054, 0.864], [0.568, 0.946, 0.136], [0.759, 0.750, 0.518], [0.241, 0.250, 0.482]], "formation_enthalpy_0k_ev_per_atom": 0.10, "relative_energy_ev_per_atom": 0.1420}


8.
{"formula": "Pm4Dy3Tm", "functional": "PBE", "state": "relaxed", "lattice": [[3.461, 0.000, -0.437], [-0.173, 6.639, -1.372], [-0.265, -0.996, 11.832]], "species": ["Dy", "Dy", "Dy", "Tm", "Pm", "Pm", "Pm", "Pm"], "fractional_positions": [[0.000, 0.500, 0.000], [0.122, 0.882, 0.245], [0.878, 0.118, 0.755], [0.500, 0.000, 0.000], [0.740, 0.236, 0.481], [0.260, 0.764, 0.519], [0.124, 0.368, 0.247], [0.876, 0.632, 0.753]], "formation_enthalpy_0k_ev_per_atom": 0.17, "relative_energy_ev_per_atom": 0.1407}